# 1
LiTiI2 | GGA-PBE | optimized geometry

Cell lengths 9.2093, 9.2093, 9.2093 Å; angles 25.06, 25.06, 25.06 degrees
Last column: nearest neighbours and their distance in Å.
Element x y z (fractional)
Li (0.0000, 0.0000, 0.0000)  6 I 2.88
Ti (0.5000, 0.5000, 0.5000)  2 I 2.73
I (0.3979, 0.3979, 0.3979)  1 Ti 2.73, 3 Li 2.88
I (0.6021, 0.6021, 0.6021)  1 Ti 2.73, 3 Li 2.88

Properties
Formation energy from raw total energies   -0.269 eV per atom
Excess energy over the best structure of this formula in the dataset   36.6 kJ/mol of formula units
Calculated total energy   -3.497 eV/atom

---

# 2
KCdHg2 | GGA-PBE | optimized geometry

Cell lengths 3.9240, 4.2738, 7.4012 Å; angles 90.00, 90.00, 90.00 degrees
Last column: nearest neighbours and their distance in Å.
Element x y z (fractional)
K (0.0000, 0.0000, 0.0000)  6 Hg 3.55-3.76, 4 Cd 3.69, 2 K 3.92
Cd (0.5000, 0.5000, 0.3072)  5 Hg 3.09-3.21
Hg (0.0000, 0.0000, 0.4923)  4 Cd 3.21, 4 Hg 3.37
Hg (0.5000, 0.5000, 0.7243)  1 Cd 3.09, 4 Hg 3.37

Properties
Calculated formation energy   -0.5 eV per formula unit
Calculated total energy   -0.783 eV/atom

---

# 3
Mo2PCl | GGA-PBE | optimized geometry

Cell lengths 7.9791, 7.9791, 7.9791 Å; angles 21.67, 21.67, 21.67 degrees
Last column: nearest neighbours and their distance in Å.
Element x y z (fractional)
Mo (0.2435, 0.2435, 0.2435)  3 P 2.50, 3 Cl 2.72
Mo (0.7565, 0.7565, 0.7565)  3 P 2.50, 3 Cl 2.72
P (0.5000, 0.5000, 0.5000)  6 Mo 2.50
Cl (0.0000, 0.0000, 0.0000)  6 Mo 2.72, 6 Cl 3.00

Properties
Formation energy from raw total energies   0.112 eV per atom
Excess energy over the best structure of this formula in the dataset   77.3 kJ/mol of formula units
Calculated total energy   -7.117 eV/atom

---

# 4
TiRhSeBr2 | GGA-PBE | optimized geometry

Cell lengths 5.0617, 5.0617, 5.0220 Å; angles 90.00, 90.00, 90.00 degrees
Last column: nearest neighbours and their distance in Å.
Element x y z (fractional)
Ti (0.0000, 0.0000, 0.0000)  2 Se 2.51, 4 Br 2.53
Rh (0.5000, 0.5000, 0.5000)  8 Br 3.57, 4 Se 3.58
Se (0.0000, 0.0000, 0.5000)  2 Ti 2.51
Br (0.0000, 0.5000, 0.0000)  2 Ti 2.53
Br (0.5000, 0.0000, 0.0000)  2 Ti 2.53

Properties
Formation energy from raw total energies   0.123 eV per atom
Excess energy over the best structure of this formula in the dataset   0.0 kJ/mol of formula units
Calculated total energy   -4.293 eV/atom

---

# 5
TbPm9Ho2 | GGA-PBE | optimized geometry

Cell lengths 5.1196, 5.1196, 15.3575 Å; angles 90.00, 90.00, 90.00 degrees
Last column: nearest neighbours and their distance in Å.
Element x y z (fractional)
Tb (0.0000, 0.0000, 0.0000)  12 Pm 3.62
Pm (0.0000, 0.5000, 0.1671)  8 Pm 3.62, 2 Ho 3.62, 2 Tb 3.62
Pm (0.0000, 0.5000, 0.5000)  4 Ho 3.62, 8 Pm 3.62
Pm (0.0000, 0.5000, 0.8329)  8 Pm 3.62, 2 Ho 3.62, 2 Tb 3.62
Pm (0.5000, 0.0000, 0.1671)  8 Pm 3.62, 2 Ho 3.62, 2 Tb 3.62
Pm (0.5000, 0.0000, 0.5000)  4 Ho 3.62, 8 Pm 3.62
Pm (0.5000, 0.0000, 0.8329)  8 Pm 3.62, 2 Ho 3.62, 2 Tb 3.62
Pm (0.5000, 0.5000, 0.0000)  4 Tb 3.62, 8 Pm 3.62
Pm (0.5000, 0.5000, 0.3336)  8 Pm 3.62, 4 Ho 3.62
Pm (0.5000, 0.5000, 0.6664)  8 Pm 3.62, 4 Ho 3.62
Ho (0.0000, 0.0000, 0.3336)  12 Pm 3.62
Ho (0.0000, 0.0000, 0.6664)  12 Pm 3.62

Properties
Calculated formation energy   0.2 eV per formula unit
Calculated total energy   -4.695 eV/atom

---

# 6
La2MnSe | GGA-PBE | optimized geometry

Cell lengths 8.3115, 8.3115, 8.3115 Å; angles 28.59, 28.59, 28.59 degrees
Last column: nearest neighbours and their distance in Å.
Element x y z (fractional)
La (0.2480, 0.2480, 0.2480)  3 Se 3.07, 3 Mn 3.13
La (0.7520, 0.7520, 0.7520)  3 Se 3.07, 3 Mn 3.13
Mn (0.0000, 0.0000, 0.0000)  6 La 3.13
Se (0.5000, 0.5000, 0.5000)  6 La 3.07

Properties
Formation energy from raw total energies   -0.633 eV per atom
Calculated total energy   -6.260 eV/atom

---

# 7
AcHoCuRu | GGA-PBE | optimized geometry

Cell lengths 5.0583, 5.0583, 5.0583 Å; angles 60.00, 60.00, 60.00 degrees
Last column: nearest neighbours and their distance in Å.
Element x y z (fractional)
Ac (0.0000, 0.0000, 0.0000)  4 Ru 3.10, 4 Cu 3.10
Ho (0.5000, 0.5000, 0.5000)  4 Ru 3.10, 4 Cu 3.10
Cu (0.2500, 0.2500, 0.2500)  4 Ho 3.10, 4 Ac 3.10
Ru (0.7500, 0.7500, 0.7500)  4 Ho 3.10, 4 Ac 3.10

Properties
Calculated formation energy   -0.5 eV per formula unit
Calculated total energy   -5.652 eV/atom

---

# 8
Rb3HgCl5 | GGA-PBE | optimized geometry

Cell lengths 9.9851, 9.9851, 9.9851 Å; angles 126.73, 126.73, 78.69 degrees
Last column: nearest neighbours and their distance in Å.
Element x y z (fractional)
Rb (0.1617, 0.6617, 0.8234)  8 Cl 3.25-3.62
Rb (0.2500, 0.2500, 0.0000)  10 Cl 3.75-3.86
Rb (0.3383, 0.1617, 0.5000)  8 Cl 3.25-3.62
Rb (0.6617, 0.8383, 0.5000)  8 Cl 3.25-3.62
Rb (0.7500, 0.7500, 0.0000)  10 Cl 3.75-3.86
Rb (0.8383, 0.3383, 0.1766)  8 Cl 3.25-3.62
Hg (0.2500, 0.7500, 0.5000)  4 Cl 2.52
Hg (0.7500, 0.2500, 0.5000)  4 Cl 2.52
Cl (0.0000, 0.0000, 0.0000)  4 Rb 3.36
Cl (0.0077, 0.1998, 0.5000)  1 Hg 2.52
Cl (0.1998, 0.6998, 0.1920)  1 Hg 2.52
Cl (0.3002, 0.4923, 0.5000)  1 Hg 2.52
Cl (0.4923, 0.9923, 0.1920)  1 Hg 2.52
Cl (0.5000, 0.5000, 0.0000)  4 Rb 3.36
Cl (0.5077, 0.0077, 0.8080)  1 Hg 2.52
Cl (0.6998, 0.5077, 0.5000)  1 Hg 2.52
Cl (0.8002, 0.3002, 0.8080)  1 Hg 2.52
Cl (0.9923, 0.8002, 0.5000)  1 Hg 2.52

Properties
Formation energy from raw total energies   -1.499 eV per atom
Calculated total energy   -2.881 eV/atom

---

# 9
NaSr3Sb2H | GGA-PBE | optimized geometry

Cell lengths 9.4961, 9.4961, 9.4961 Å; angles 150.88, 149.69, 42.53 degrees
Last column: nearest neighbours and their distance in Å.
Element x y z (fractional)
Na (0.0000, 0.0000, 0.0000)  2 H 2.39
Sr (0.1742, 0.6742, 0.5000)  1 H 3.08, 1 Sb 3.37
Sr (0.5000, 0.5000, 0.0000)  2 H 2.48
Sr (0.8258, 0.3258, 0.5000)  1 H 3.08, 1 Sb 3.37
Sb (0.3647, 0.8647, 0.5000)  7 Sr 3.37-3.51, 2 Na 3.45
Sb (0.6353, 0.1353, 0.5000)  7 Sr 3.37-3.51, 2 Na 3.45
H (0.0000, 0.5000, 0.5000)  2 Na 2.39, 2 Sr 2.48

Properties
Calculated total energy   -3.436 eV/atom

---

# 10
Cd2OsSe | GGA-PBE | optimized geometry

Cell lengths 10.5651, 10.5651, 10.5651 Å; angles 16.83, 16.83, 16.83 degrees
Last column: nearest neighbours and their distance in Å.
Element x y z (fractional)
Cd (0.0000, 0.0000, 0.0000)  3 Os 2.93, 6 Cd 3.09
Cd (0.2424, 0.2424, 0.2424)  9 Cd 3.09-3.35
Os (0.7411, 0.7411, 0.7411)  3 Se 2.43
Se (0.4607, 0.4607, 0.4607)  3 Os 2.43

Properties
Formation energy from raw total energies   0.218 eV per atom
Calculated total energy   -3.918 eV/atom

---

# 11
Tb8Sc2Cd | GGA-PBE | optimized geometry

Cell lengths 8.8972, 8.8972, 8.1160 Å; angles 114.38, 114.38, 34.57 degrees
Last column: nearest neighbours and their distance in Å.
Element x y z (fractional)
Tb (0.0215, 0.0215, 0.2239)  2 Sc 3.36-3.70, 7 Tb 3.37-3.61, 2 Cd 3.58
Tb (0.1620, 0.1620, 0.7088)  3 Sc 3.35-3.37, 8 Tb 3.36-3.65, 2 Cd 3.66
Tb (0.3288, 0.3288, 0.5905)  3 Sc 3.28-3.55, 1 Cd 3.29, 8 Tb 3.36-3.64
Tb (0.3870, 0.3870, 0.0586)  2 Sc 3.15, 1 Cd 3.25, 3 Tb 3.37-3.49
Tb (0.6130, 0.6130, 0.9414)  2 Sc 3.15, 1 Cd 3.25, 3 Tb 3.37-3.49
Tb (0.6712, 0.6712, 0.4095)  3 Sc 3.28-3.55, 1 Cd 3.29, 8 Tb 3.36-3.64
Tb (0.8380, 0.8380, 0.2912)  3 Sc 3.35-3.37, 8 Tb 3.36-3.65, 2 Cd 3.66
Tb (0.9785, 0.9785, 0.7761)  2 Sc 3.36-3.70, 7 Tb 3.37-3.61, 2 Cd 3.58
Sc (0.2018, 0.2018, 0.1504)  7 Tb 3.15-3.37
Sc (0.7982, 0.7982, 0.8496)  7 Tb 3.15-3.37
Cd (0.5000, 0.5000, 0.5000)  8 Tb 3.25-3.58

Properties
Calculated formation energy   0.4 eV per formula unit
Calculated total energy   -4.569 eV/atom

---

# 12
Tm12ScC7 | GGA-PBE | optimized geometry

Cell lengths 7.9274, 7.9274, 7.9274 Å; angles 107.65, 107.65, 107.65 degrees
Last column: nearest neighbours and their distance in Å.
Element x y z (fractional)
Tm (0.0589, 0.3429, 0.1282)  3 C 2.40-2.43
Tm (0.1282, 0.0589, 0.3429)  3 C 2.40-2.43
Tm (0.1921, 0.7144, 0.5710)  3 C 2.36-2.50
Tm (0.2856, 0.4290, 0.8079)  3 C 2.36-2.50
Tm (0.3429, 0.1282, 0.0589)  3 C 2.40-2.43
Tm (0.4290, 0.8079, 0.2856)  3 C 2.36-2.50
Tm (0.5710, 0.1921, 0.7144)  3 C 2.36-2.50
Tm (0.6571, 0.8718, 0.9411)  3 C 2.40-2.43
Tm (0.7144, 0.5710, 0.1921)  3 C 2.36-2.50
Tm (0.8079, 0.2856, 0.4290)  3 C 2.36-2.50
Tm (0.8718, 0.9411, 0.6571)  3 C 2.40-2.43
Tm (0.9411, 0.6571, 0.8718)  3 C 2.40-2.43
Sc (0.5000, 0.5000, 0.5000)  6 C 2.52
C (0.0000, 0.0000, 0.0000)  6 Tm 2.43
C (0.1511, 0.3861, 0.4621)  5 Tm 2.36-2.50, 1 Sc 2.52
C (0.3861, 0.4621, 0.1511)  5 Tm 2.36-2.50, 1 Sc 2.52
C (0.4621, 0.1511, 0.3861)  5 Tm 2.36-2.50, 1 Sc 2.52
C (0.5379, 0.8489, 0.6139)  5 Tm 2.36-2.50, 1 Sc 2.52
C (0.6139, 0.5379, 0.8489)  5 Tm 2.36-2.50, 1 Sc 2.52
C (0.8489, 0.6139, 0.5379)  5 Tm 2.36-2.50, 1 Sc 2.52

Properties
Calculated formation energy   -6.3 eV per formula unit
Calculated total energy   -6.541 eV/atom

---

# 13
Ac3Sn2Hg4 | GGA-PBE | optimized geometry

Cell lengths 6.6859, 6.6859, 9.7793 Å; angles 107.69, 107.69, 42.60 degrees
Last column: nearest neighbours and their distance in Å.
Element x y z (fractional)
Ac (0.0000, 0.0000, 0.0000)  4 Hg 3.35-3.40, 4 Sn 3.56
Ac (0.3259, 0.3259, 0.3529)  4 Hg 3.35-3.45, 3 Sn 3.47-3.48
Ac (0.6741, 0.6741, 0.6471)  4 Hg 3.35-3.45, 3 Sn 3.47-3.48
Sn (0.3859, 0.3859, 0.7250)  3 Hg 2.96-2.99
Sn (0.6141, 0.6141, 0.2750)  3 Hg 2.96-2.99
Hg (0.0108, 0.0108, 0.3524)  2 Sn 2.96, 1 Hg 2.99
Hg (0.2386, 0.2386, 0.9128)  2 Hg 2.93, 1 Sn 2.99
Hg (0.7614, 0.7614, 0.0872)  2 Hg 2.93, 1 Sn 2.99
Hg (0.9892, 0.9892, 0.6476)  2 Sn 2.96, 1 Hg 2.99

Properties
Calculated formation energy   -5.1 eV per formula unit
Calculated total energy   -2.956 eV/atom

---

# 14
Rb2Zn2As | GGA-PBE | optimized geometry

Cell lengths 7.2850, 7.2850, 5.6446 Å; angles 90.00, 90.00, 90.00 degrees
Last column: nearest neighbours and their distance in Å.
Element x y z (fractional)
Rb (0.1907, 0.3093, 0.0000)  6 Zn 3.39-3.68, 4 Rb 3.74
Rb (0.3093, 0.8093, 0.0000)  6 Zn 3.39-3.68, 4 Rb 3.74
Rb (0.6907, 0.1907, 0.0000)  6 Zn 3.39-3.68, 4 Rb 3.74
Rb (0.8093, 0.6907, 0.0000)  6 Zn 3.39-3.68, 4 Rb 3.74
Zn (0.1270, 0.6270, 0.5000)  1 Zn 2.62, 2 As 2.87
Zn (0.3730, 0.1270, 0.5000)  1 Zn 2.62, 2 As 2.87
Zn (0.6270, 0.8730, 0.5000)  1 Zn 2.62, 2 As 2.87
Zn (0.8730, 0.3730, 0.5000)  1 Zn 2.62, 2 As 2.87
As (0.0000, 0.0000, 0.5000)  4 Zn 2.87
As (0.5000, 0.5000, 0.5000)  4 Zn 2.87

Properties
Calculated formation energy   0.0 eV per formula unit
Excess energy over the best structure of this formula in the dataset   0.0 kJ/mol of formula units
Calculated total energy   -1.817 eV/atom

---

# 15
Tb2InAu6 | GGA-PBE | optimized geometry

Cell lengths 8.3322, 8.3322, 5.2072 Å; angles 99.02, 99.02, 143.07 degrees
Last column: nearest neighbours and their distance in Å.
Element x y z (fractional)
Tb (0.1599, 0.8401, 0.0000)  10 Au 3.00-3.06
Tb (0.8401, 0.1599, 0.0000)  10 Au 3.00-3.06
In (0.0000, 0.0000, 0.5000)  10 Au 2.97-3.11
Au (0.1681, 0.5086, 0.6742)  5 Au 2.95-3.10, 4 Tb 3.02-3.06, 1 In 3.11
Au (0.3515, 0.3515, 0.1804)  5 Au 2.89-3.22, 3 In 2.97-3.08, 2 Tb 3.00
Au (0.4914, 0.8319, 0.3258)  5 Au 2.95-3.10, 4 Tb 3.02-3.06, 1 In 3.11
Au (0.5086, 0.1681, 0.6742)  5 Au 2.95-3.10, 4 Tb 3.02-3.06, 1 In 3.11
Au (0.6485, 0.6485, 0.8196)  5 Au 2.89-3.22, 3 In 2.97-3.08, 2 Tb 3.00
Au (0.8319, 0.4914, 0.3258)  5 Au 2.95-3.10, 4 Tb 3.02-3.06, 1 In 3.11

Properties
Calculated formation energy   -5.5 eV per formula unit
Excess energy over the best structure of this formula in the dataset   0.0 kJ/mol of formula units
Calculated total energy   -4.128 eV/atom

---

# 16
BaYMgTl | GGA-PBE | optimized geometry

Cell lengths 5.7243, 5.7243, 5.7243 Å; angles 60.00, 60.00, 60.00 degrees
Last column: nearest neighbours and their distance in Å.
Element x y z (fractional)
Ba (0.0000, 0.0000, 0.0000)  4 Tl 3.51, 4 Mg 3.51
Y (0.5000, 0.5000, 0.5000)  4 Tl 3.51, 4 Mg 3.51
Mg (0.2500, 0.2500, 0.2500)  4 Ba 3.51, 4 Y 3.51
Tl (0.7500, 0.7500, 0.7500)  4 Ba 3.51, 4 Y 3.51

Properties
Calculated formation energy   -0.5 eV per formula unit
Calculated total energy   -3.222 eV/atom

---

# 17
Tb3Pd2Au2 | GGA-PBE | optimized geometry

Cell lengths 4.8458, 4.9618, 7.8848 Å; angles 82.34, 83.05, 61.46 degrees
Last column: nearest neighbours and their distance in Å.
Element x y z (fractional)
Tb (0.0000, 0.0000, 0.0000)  2 Pd 2.78, 2 Au 3.07
Tb (0.2970, 0.2842, 0.3182)  4 Pd 2.81-2.97, 3 Au 3.06-3.12
Tb (0.7030, 0.7158, 0.6818)  4 Pd 2.81-2.97, 3 Au 3.06-3.12
Pd (0.0486, 0.0818, 0.6441)  1 Pd 2.68, 5 Tb 2.78-2.97
Pd (0.9514, 0.9182, 0.3559)  1 Pd 2.68, 5 Tb 2.78-2.97
Au (0.3509, 0.3549, 0.8326)  3 Pd 3.03-3.38, 6 Tb 3.06-3.20
Au (0.6491, 0.6451, 0.1674)  3 Pd 3.03-3.38, 6 Tb 3.06-3.20

Properties
Calculated formation energy   -5.3 eV per formula unit
Calculated total energy   -5.158 eV/atom

---

# 18
Dy4CoCu2 | GGA-PBE | optimized geometry

Cell lengths 5.9133, 5.9133, 4.7718 Å; angles 90.00, 90.00, 108.93 degrees
Last column: nearest neighbours and their distance in Å.
Element x y z (fractional)
Dy (0.0000, 0.5000, 0.5000)  4 Cu 2.94, 2 Co 2.96
Dy (0.2445, 0.2445, 0.0000)  2 Co 2.92, 4 Cu 2.92-2.99
Dy (0.5000, 0.0000, 0.5000)  4 Cu 2.94, 2 Co 2.96
Dy (0.7555, 0.7555, 0.0000)  2 Co 2.92, 4 Cu 2.92-2.99
Co (0.0000, 0.0000, 0.5000)  8 Dy 2.92-2.96
Cu (0.2482, 0.7518, 0.0000)  8 Dy 2.92-2.99
Cu (0.7518, 0.2482, 0.0000)  8 Dy 2.92-2.99

Properties
Calculated formation energy   -0.9 eV per formula unit
Calculated total energy   -4.945 eV/atom

---

# 19
Zn2InSb | GGA-PBE | optimized geometry

Cell lengths 5.8377, 5.8377, 5.8377 Å; angles 138.07, 138.07, 60.80 degrees
Last column: nearest neighbours and their distance in Å.
Element x y z (fractional)
Zn (0.0000, 0.0000, 0.0000)  4 Sb 2.95, 4 In 3.27, 4 Zn 3.27
Zn (0.7500, 0.2500, 0.5000)  4 In 2.95, 4 Sb 3.27, 4 Zn 3.27
In (0.2500, 0.7500, 0.5000)  8 Zn 2.95-3.27, 4 Sb 3.27
Sb (0.5000, 0.5000, 0.0000)  8 Zn 2.95-3.27, 4 In 3.27

Properties
Formation energy from raw total energies   0.149 eV per atom
Excess energy over the best structure of this formula in the dataset   22.0 kJ/mol of formula units
Calculated total energy   -2.204 eV/atom

---

# 20
ThScMoC3 | GGA-PBE | optimized geometry

Cell lengths 7.1366, 3.5977, 7.8801 Å; angles 90.00, 102.28, 90.00 degrees
Last column: nearest neighbours and their distance in Å.
Element x y z (fractional)
Th (0.1965, 0.2500, 0.1975)  3 C 2.46-2.66
Th (0.8035, 0.7500, 0.8025)  3 C 2.46-2.66
Sc (0.3584, 0.7500, 0.8675)  3 C 2.18-2.44
Sc (0.6416, 0.2500, 0.1325)  3 C 2.18-2.44
Mo (0.1160, 0.2500, 0.6063)  4 C 1.94-2.11
Mo (0.8840, 0.7500, 0.3937)  4 C 1.94-2.11
C (0.1164, 0.2500, 0.8521)  1 Mo 1.94
C (0.1800, 0.7500, 0.5074)  3 Mo 2.05-2.11
C (0.4152, 0.7500, 0.1509)  3 Sc 2.18-2.44
C (0.5848, 0.2500, 0.8491)  3 Sc 2.18-2.44
C (0.8200, 0.2500, 0.4926)  3 Mo 2.05-2.11
C (0.8836, 0.7500, 0.1479)  1 Mo 1.94

Properties
Calculated formation energy   -0.1 eV per formula unit
Calculated total energy   -8.728 eV/atom